No. 1
Computed, not measured: KNaSr3 after structural relaxation at the PBE level of DFT.

Computed properties:
- magnetization (μB/f.u.) = 0.0
- uncorrected energy (eV per atom) = -1.2420
- energy of formation (eV per formula unit) = 1.25

Lattice parameters (Å, degrees): 6.766 6.766 6.766 90.00 90.00 90.00
Space group Pm-3m (No. 221)
Symmetry-distinct sites (fractional):
K: 0.000 0.000 0.000 [1 per cell]
Na: 0.500 0.500 0.500 [1 per cell]
Sr: 0.000 0.500 0.500 [3 per cell]

No. 2
Computed, not measured: Cs2K3Cl4 after structural relaxation at the PBE level of DFT.

Computed properties:
- magnetization (μB/f.u.) = 0.2
- uncorrected energy (eV per atom) = -3.0670

Lattice parameters (Å, degrees): 15.749 4.648 11.808 90.00 118.58 90.00
Space group C2/m (No. 12)
Symmetry-distinct sites (fractional):
Cs: 0.102 0.000 0.395 [4 per cell]
K: 0.000 0.500 0.000 [2 per cell]
K: 0.208 0.500 0.823 [4 per cell]
Cl: 0.102 0.000 0.908 [4 per cell]
Cl: 0.202 0.500 0.273 [4 per cell]

No. 3
Computed, not measured: La3Sm8Tl4 after structural relaxation at the PBE level of DFT.

Computed properties:
- magnetization (μB/f.u.) = 0.0
- uncorrected energy (eV per atom) = -4.0583
- energy of formation (eV per formula unit) = 1.13

Lattice parameters (Å, degrees): 13.375 12.776 6.834 90.00 120.69 90.00
Space group C2/m (No. 12)
Symmetry-distinct sites (fractional):
La: 0.000 0.000 0.000 [2 per cell]
La: 0.250 0.250 0.000 [4 per cell]
Sm: 0.000 0.256 0.500 [4 per cell]
Sm: 0.000 0.261 0.000 [4 per cell]
Sm: 0.239 0.500 0.016 [4 per cell]
Sm: 0.239 0.500 0.496 [4 per cell]
Tl: 0.000 0.000 0.500 [2 per cell]
Tl: 0.000 0.500 0.000 [2 per cell]
Tl: 0.250 0.250 0.500 [4 per cell]

No. 4
Computed, not measured: Sc2OsF after structural relaxation at the PBE level of DFT.

Computed properties:
- magnetization (μB/f.u.) = 0.0
- uncorrected energy (eV per atom) = -7.2626

Lattice parameters (Å, degrees): 6.399 6.399 6.399 90.00 90.00 90.00
Space group Fm-3m (No. 225)
Symmetry-distinct sites (fractional):
Sc: 0.250 0.250 0.250 [8 per cell]
Os: 0.000 0.000 0.000 [4 per cell]
F: 0.000 0.000 0.500 [4 per cell]

Number 1: Fermi-level density of states 1.00 states/eV/atom. Number 2: Fermi-level density of states 0.18 states/eV/atom. Number 3: Fermi-level density of states 1.24 states/eV/atom. Number 4: Fermi-level density of states 0.68 states/eV/atom.